The following is a DFT calculation (PBE) of crystalline NaSmAgSe3 at its relaxed geometry.

Properties
calculated total energy	-51.0	eV/cell

Unit cell a=7.3352 b=7.3352 c=10.7413 alpha=90.00 beta=90.00 gamma=147.88
Sites, in units of the cell vectors:
Se 0.3571 0.6429 0.0611
Ag 0.5284 0.4716 0.7500
Na 0.2391 0.7609 0.7500
Se 0.0925 0.9075 0.2500
Se 0.6429 0.3571 0.9389
Se 0.3571 0.6429 0.4389
Na 0.7609 0.2391 0.2500
Se 0.9075 0.0925 0.7500
Sm 0.0000 0.0000 0.5000
Se 0.6429 0.3571 0.5611
Ag 0.4716 0.5284 0.2500
Sm 0.0000 0.0000 0.0000

The following is a DFT calculation (PBE) of crystalline NaAgSnSe3 at its relaxed geometry.

Properties
calculated total energy	-42.7	eV/cell
distance to the lowest polymorph of the same formula	0.021	eV/atom

Unit cell a=7.8925 b=4.0147 c=9.6304 alpha=90.00 beta=102.93 gamma=90.00
Sites, in units of the cell vectors:
Se 0.4143 0.7500 0.6222
Se 0.7809 0.7500 0.0698
Se 0.2191 0.2500 0.9302
Na 0.2208 0.7500 0.1683
Sn 0.1851 0.2500 0.6424
Se 0.5857 0.2500 0.3778
Se 0.9306 0.7500 0.6448
Ag 0.4642 0.7500 0.8982
Na 0.7792 0.2500 0.8317
Ag 0.5358 0.2500 0.1018
Se 0.0694 0.2500 0.3552
Sn 0.8149 0.7500 0.3576

The following is a DFT calculation (PBE) of crystalline NaAgSnSe3 at its relaxed geometry.

Properties
calculated total energy	-84.6	eV/cell
distance to the lowest polymorph of the same formula	0.055	eV/atom

Unit cell a=11.0941 b=4.0325 c=12.9926 alpha=90.00 beta=90.00 gamma=90.00
Sites, in units of the cell vectors:
Se 0.5247 0.7500 0.8990
Se 0.7462 0.2500 0.6912
Se 0.0247 0.7500 0.6010
Sn 0.9890 0.2500 0.7460
Se 0.4689 0.7500 0.6057
Sn 0.5110 0.7500 0.2460
Ag 0.7549 0.2500 0.3345
Se 0.4753 0.2500 0.1010
Ag 0.2549 0.2500 0.1655
Na 0.2560 0.2500 0.4732
Se 0.7538 0.7500 0.1912
Se 0.2462 0.2500 0.8088
Se 0.0311 0.2500 0.1057
Sn 0.0110 0.7500 0.2540
Se 0.9753 0.2500 0.3990
Se 0.5311 0.2500 0.3943
Na 0.2440 0.7500 0.9732
Na 0.7440 0.7500 0.5268
Ag 0.2451 0.7500 0.6655
Se 0.9689 0.7500 0.8943
Na 0.7560 0.2500 0.0268
Ag 0.7451 0.7500 0.8345
Sn 0.4890 0.2500 0.7540
Se 0.2538 0.7500 0.3088

The following is a DFT calculation (PBE) of crystalline NaAgSnSe3 at its relaxed geometry.

Properties
calculated total energy	-84.8	eV/cell
distance to the lowest polymorph of the same formula	0.046	eV/atom

Unit cell a=8.7578 b=4.0804 c=16.5801 alpha=90.00 beta=90.00 gamma=90.00
Sites, in units of the cell vectors:
Ag 0.7517 0.2500 0.1350
Se 0.0373 0.2500 0.9064
Se 0.9627 0.7500 0.0936
Ag 0.2517 0.2500 0.3650
Se 0.6948 0.7500 0.7872
Se 0.3619 0.7500 0.0075
Se 0.1948 0.7500 0.7128
Ag 0.2483 0.7500 0.8650
Ag 0.7483 0.7500 0.6350
Se 0.3052 0.2500 0.2128
Sn 0.1803 0.2500 0.0656
Na 0.9525 0.2500 0.7337
Na 0.5475 0.7500 0.2337
Sn 0.8197 0.7500 0.9344
Sn 0.6803 0.2500 0.4344
Se 0.6381 0.2500 0.9925
Na 0.4525 0.2500 0.7663
Na 0.0475 0.7500 0.2663
Se 0.8052 0.2500 0.2872
Se 0.4627 0.7500 0.4064
Sn 0.3197 0.7500 0.5656
Se 0.5373 0.2500 0.5936
Se 0.1381 0.2500 0.5075
Se 0.8619 0.7500 0.4925

The following is a DFT calculation (PBE) of crystalline NaAgSnSe3 at its relaxed geometry.

Properties
calculated total energy	-85.5	eV/cell
distance to the lowest polymorph of the same formula	0.016	eV/atom

Unit cell a=13.3180 b=4.0732 c=11.1227 alpha=90.00 beta=90.00 gamma=90.00
Sites, in units of the cell vectors:
Se 0.1431 0.7500 0.2681
Se 0.3569 0.2500 0.7681
Na 0.2232 0.2500 0.9974
Se 0.6101 0.2500 0.9395
Ag 0.9730 0.2500 0.9226
Na 0.2768 0.7500 0.4974
Na 0.7232 0.2500 0.5026
Se 0.6045 0.7500 0.6482
Na 0.7768 0.7500 0.0026
Ag 0.4730 0.2500 0.5774
Se 0.3955 0.2500 0.3518
Sn 0.5184 0.2500 0.1570
Ag 0.0270 0.7500 0.0774
Se 0.8569 0.2500 0.7319
Se 0.6431 0.7500 0.2319
Sn 0.4816 0.7500 0.8430
Sn 0.9816 0.7500 0.6570
Se 0.1045 0.7500 0.8518
Se 0.1101 0.2500 0.5605
Sn 0.0184 0.2500 0.3430
Ag 0.5270 0.7500 0.4226
Se 0.3899 0.7500 0.0605
Se 0.8899 0.7500 0.4395
Se 0.8955 0.2500 0.1482

The following is a DFT calculation (PBE) of crystalline NaAgSnSe3 at its relaxed geometry.

Properties
calculated total energy	-85.9	eV/cell
distance to the lowest polymorph of the same formula	0.001	eV/atom

Unit cell a=10.3459 b=4.1463 c=14.0236 alpha=90.00 beta=90.00 gamma=90.00
Sites, in units of the cell vectors:
Sn 0.8389 0.0000 0.4710
Na 0.4990 0.0000 0.6323
Se 0.1923 0.5000 0.1828
Se 0.8172 0.5000 0.0435
Sn 0.1611 0.5000 0.5290
Sn 0.3389 0.5000 0.0290
Ag 0.7259 0.5000 0.7229
Se 0.8077 0.0000 0.8172
Se 0.6923 0.0000 0.3172
Na 0.5010 0.5000 0.3677
Se 0.4882 0.0000 0.1151
Ag 0.2259 0.0000 0.7771
Na 0.9990 0.5000 0.8677
Na 0.0010 0.0000 0.1323
Se 0.0118 0.0000 0.6151
Sn 0.6611 0.0000 0.9710
Se 0.3172 0.0000 0.4565
Se 0.1828 0.0000 0.9565
Se 0.5118 0.5000 0.8849
Se 0.6828 0.5000 0.5435
Se 0.9882 0.5000 0.3849
Ag 0.2741 0.0000 0.2771
Ag 0.7741 0.5000 0.2229
Se 0.3077 0.5000 0.6828